Ac2ThSc after structural relaxation, computed with PBE.

Geometry as POSCAR:
```
Ac2ThSc
1.0
5.241 0.000 0.000
0.000 5.238 0.000
0.000 0.000 5.238
Th Ac Sc
1 2 1
Direct
0.500 0.000 0.000
0.000 0.000 0.500
0.000 0.500 0.000
0.500 0.500 0.500
```

Results
ΔE_f   0.7 eV/f.u.
Energy above the most stable polymorph in this dataset   13 meV/atom
Symmetry   P4/mmm, No. 123
Spin magnetization   0.000 Bohr magnetons per cell
N(E_F)   1.64 states/eV per atom

---

AcTh2Sc after structural relaxation, computed with PBE.

Geometry as POSCAR:
```
AcTh2Sc
1.0
-2.513 2.023 -1.414
-3.368 -0.478 0.914
-0.593 8.728 9.157
Ac Sc Th
1 1 2
Direct
0.000 0.000 0.000
0.500 0.500 0.500
0.093 0.093 0.721
0.907 0.907 0.279
```

Results
ΔE_f   1.1 eV/f.u.
Energy above the most stable polymorph in this dataset   142 meV/atom
Symmetry   R-3m, No. 166
Spin magnetization   0.000 Bohr magnetons per cell
N(E_F)   1.29 states/eV per atom

---

AcThScTl after structural relaxation, computed with PBE.

Geometry as POSCAR:
```
AcThScTl
1.0
5.548 0.000 0.000
2.774 4.805 0.000
2.774 1.602 4.530
Ac Tl Th Sc
1 1 1 1
Direct
0.000 0.000 0.000
0.500 0.500 0.500
0.750 0.750 0.750
0.250 0.250 0.250
```

Results
ΔE_f   0.6 eV/f.u.
Symmetry   F-43m, No. 216
Spin magnetization   0.000 Bohr magnetons per cell
N(E_F)   1.32 states/eV per atom

---

AcYThSc after structural relaxation, computed with PBE.

Geometry as POSCAR:
```
AcYThSc
1.0
5.705 0.000 0.000
2.853 4.941 0.000
2.853 1.647 4.658
Th Ac Sc Y
1 1 1 1
Direct
0.250 0.250 0.250
0.750 0.750 0.750
0.000 0.000 0.000
0.500 0.500 0.500
```

Results
ΔE_f   0.5 eV/f.u.
Symmetry   F-43m, No. 216
Spin magnetization   0.000 Bohr magnetons per cell
N(E_F)   1.27 states/eV per atom

---

AcThZrSc after structural relaxation, computed with PBE.

Geometry as POSCAR:
```
AcThZrSc
1.0
5.522 0.000 0.000
2.761 4.782 0.000
2.761 1.594 4.509
Zr Ac Sc Th
1 1 1 1
Direct
0.500 0.500 0.500
0.750 0.750 0.750
0.000 0.000 0.000
0.250 0.250 0.250
```

Results
ΔE_f   0.7 eV/f.u.
Symmetry   F-43m, No. 216
Spin magnetization   0.000 Bohr magnetons per cell
N(E_F)   0.95 states/eV per atom

---

AcScTi after structural relaxation, computed with PBE.

Geometry as POSCAR:
```
AcScTi
1.0
3.462 0.000 0.000
-1.731 2.997 0.000
0.000 0.000 15.907
Sc Ac Ti
2 2 2
Direct
0.279 0.557 0.500
0.610 0.221 0.000
0.277 0.554 0.813
0.277 0.554 0.187
0.612 0.224 0.356
0.612 0.224 0.644
```

Results
ΔE_f   1.3 eV/f.u.
Symmetry   Amm2, No. 38
Spin magnetization   0.005 Bohr magnetons per cell
N(E_F)   1.94 states/eV per atom

---

AcSc2Ti after structural relaxation, computed with PBE.

Geometry as POSCAR:
```
AcSc2Ti
1.0
3.323 0.000 0.000
1.661 2.878 0.000
1.661 0.959 11.384
Sc Ti Ac
2 1 1
Direct
0.901 0.901 0.297
0.099 0.099 0.703
0.500 0.500 0.500
0.000 0.000 0.000
```

Results
ΔE_f   1.5 eV/f.u.
Energy above the most stable polymorph in this dataset   168 meV/atom
Symmetry   R-3m, No. 166
Spin magnetization   0.002 Bohr magnetons per cell
N(E_F)   1.61 states/eV per atom

---

AcSc2Ti after structural relaxation, computed with PBE.

Geometry as POSCAR:
```
AcSc2Ti
1.0
3.737 0.000 0.000
0.000 3.737 0.000
0.000 0.000 7.773
Ac Sc Ti
1 2 1
Direct
0.500 0.500 0.500
0.000 0.000 0.806
0.000 0.000 0.194
0.500 0.500 0.000
```

Results
ΔE_f   0.8 eV/f.u.
Energy above the most stable polymorph in this dataset   0 meV/atom
Symmetry   P4/mmm, No. 123
Spin magnetization   1.620 Bohr magnetons per cell
N(E_F)   1.61 states/eV per atom

---

Ac2ScTi after structural relaxation, computed with PBE.

Geometry as POSCAR:
```
Ac2ScTi
1.0
3.556 0.000 0.000
1.778 3.079 0.000
1.778 1.026 12.042
Ti Ac Sc
1 2 1
Direct
0.000 0.000 0.000
0.086 0.086 0.742
0.914 0.914 0.258
0.500 0.500 0.500
```

Results
ΔE_f   2.6 eV/f.u.
Symmetry   R-3m, No. 166
Spin magnetization   1.374 Bohr magnetons per cell
N(E_F)   1.83 states/eV per atom

---

AcSc2Tl after structural relaxation, computed with PBE.

Geometry as POSCAR:
```
AcSc2Tl
1.0
-4.560 0.261 1.937
-1.622 -3.588 3.018
0.085 1.836 6.306
Ac Tl Sc
1 1 2
Direct
0.491 0.491 0.526
0.693 0.693 0.921
0.280 0.280 0.159
0.035 0.035 0.894
```

Results
ΔE_f   0.0 eV/f.u.
Energy above the most stable polymorph in this dataset   92 meV/atom
Symmetry   R3m, No. 160
Spin magnetization   0.000 Bohr magnetons per cell
N(E_F)   1.29 states/eV per atom